A | # BaSbP3 | the Alexandria database | PBE-GGA | optimized geometry
# - crystal system = cubic
# - SG = Pm-3m, No. 221
# - total magnetization (μB per atom) = 0.000
data_BaSbP3
_chemical_formula_sum 'Ba1 Sb1 P3'
_symmetry_space_group_name_H-M 'P 1'
_symmetry_Int_Tables_number 1
_symmetry_space_group_name_Hall 'P 1'
_cell_length_a 5.164
_cell_length_b 5.164
_cell_length_c 5.164
_cell_angle_alpha 90.00
_cell_angle_beta 90.00
_cell_angle_gamma 90.00
loop_
_atom_site_label
_atom_site_fract_x
_atom_site_fract_y
_atom_site_fract_z
Sb1 0.000 0.000 0.000
Ba1 0.500 0.500 0.500
P1 0.000 0.500 0.000
P2 0.000 0.000 0.500
P3 0.500 0.000 0.000


B | # BaSbP3 | the Alexandria database | PBE-GGA | optimized geometry
# - crystal system = cubic
# - SG = Pm-3m, No. 221
# - total magnetization (μB per atom) = 0.000
data_BaSbP3
_chemical_formula_sum 'Ba1 Sb1 P3'
_symmetry_space_group_name_H-M 'P 1'
_symmetry_Int_Tables_number 1
_symmetry_space_group_name_Hall 'P 1'
_cell_length_a 5.534
_cell_length_b 5.534
_cell_length_c 5.534
_cell_angle_alpha 90.00
_cell_angle_beta 90.00
_cell_angle_gamma 90.00
loop_
_atom_site_label
_atom_site_fract_x
_atom_site_fract_y
_atom_site_fract_z
Sb1 0.500 0.500 0.500
Ba1 0.000 0.000 0.000
P1 0.000 0.500 0.000
P2 0.000 0.000 0.500
P3 0.500 0.000 0.000


Tell me which of them is the least stable. Sure, it is B.


A | # Ba8SbP4 | the Alexandria database | PBE-GGA | optimized geometry
# - crystal system = cubic
# - SG = F-43m, No. 216
# - total magnetization (μB per atom) = 0.076
data_Ba8SbP4
_chemical_formula_sum 'Ba8 Sb1 P4'
_symmetry_space_group_name_H-M 'P 1'
_symmetry_Int_Tables_number 1
_symmetry_space_group_name_Hall 'P 1'
_cell_length_a 9.653
_cell_length_b 9.653
_cell_length_c 9.653
_cell_angle_alpha 60.00
_cell_angle_beta 60.00
_cell_angle_gamma 60.00
loop_
_atom_site_label
_atom_site_fract_x
_atom_site_fract_y
_atom_site_fract_z
Ba1 0.583 0.139 0.139
Ba2 0.139 0.583 0.139
Ba3 0.139 0.139 0.583
Ba4 0.139 0.139 0.139
Ba5 0.174 0.609 0.609
Ba6 0.609 0.174 0.609
Ba7 0.609 0.609 0.174
Ba8 0.609 0.609 0.609
Sb1 0.750 0.750 0.750
P1 0.885 0.372 0.372
P2 0.372 0.885 0.372
P3 0.372 0.372 0.885
P4 0.372 0.372 0.372


B | # Ba8SbP4 | the Alexandria database | PBE-GGA | optimized geometry
# - crystal system = monoclinic
# - SG = C2/m, No. 12
# - total magnetization (μB per atom) = 0.058
data_Ba8SbP4
_chemical_formula_sum 'Ba8 Sb1 P4'
_symmetry_space_group_name_H-M 'P 1'
_symmetry_Int_Tables_number 1
_symmetry_space_group_name_Hall 'P 1'
_cell_length_a 9.440
_cell_length_b 9.439
_cell_length_c 9.498
_cell_angle_alpha 102.58
_cell_angle_beta 105.96
_cell_angle_gamma 120.28
loop_
_atom_site_label
_atom_site_fract_x
_atom_site_fract_y
_atom_site_fract_z
Ba1 0.708 0.040 0.206
Ba2 0.167 0.499 0.206
Ba3 0.688 0.497 0.185
Ba4 0.189 0.025 0.214
Ba5 0.811 0.975 0.786
Ba6 0.312 0.503 0.815
Ba7 0.833 0.501 0.794
Ba8 0.292 0.960 0.794
Sb1 0.000 0.500 0.500
P1 0.241 0.241 0.000
P2 0.759 0.759 0.000
P3 0.272 0.775 0.047
P4 0.728 0.225 0.953


Tell me which of them is the least stable. Sure, it is A.


A | # BaScP | the Alexandria database | PBE-GGA | optimized geometry
# - crystal system = cubic
# - SG = F-43m, No. 216
# - total magnetization (μB per atom) = 0.617
data_BaScP
_chemical_formula_sum 'Ba1 Sc1 P1'
_symmetry_space_group_name_H-M 'P 1'
_symmetry_Int_Tables_number 1
_symmetry_space_group_name_Hall 'P 1'
_cell_length_a 5.134
_cell_length_b 5.134
_cell_length_c 5.134
_cell_angle_alpha 60.00
_cell_angle_beta 60.00
_cell_angle_gamma 60.00
loop_
_atom_site_label
_atom_site_fract_x
_atom_site_fract_y
_atom_site_fract_z
Ba1 0.250 0.250 0.250
Sc1 0.500 0.500 0.500
P1 0.000 0.000 0.000


B | # BaScP | the Alexandria database | PBE-GGA | optimized geometry
# - crystal system = tetragonal
# - SG = I4mm, No. 107
# - total magnetization (μB per atom) = 0.001
data_BaScP
_chemical_formula_sum 'Ba1 Sc1 P1'
_symmetry_space_group_name_H-M 'P 1'
_symmetry_Int_Tables_number 1
_symmetry_space_group_name_Hall 'P 1'
_cell_length_a 6.713
_cell_length_b 6.713
_cell_length_c 6.713
_cell_angle_alpha 147.96
_cell_angle_beta 147.96
_cell_angle_gamma 45.94
loop_
_atom_site_label
_atom_site_fract_x
_atom_site_fract_y
_atom_site_fract_z
Ba1 0.997 0.997 0.000
Sc1 0.731 0.731 0.000
P1 0.272 0.272 0.000


C | # BaScP | the Alexandria database | PBE-GGA | optimized geometry
# - crystal system = cubic
# - SG = F-43m, No. 216
# - total magnetization (μB per atom) = 0.000
data_BaScP
_chemical_formula_sum 'Ba1 Sc1 P1'
_symmetry_space_group_name_H-M 'P 1'
_symmetry_Int_Tables_number 1
_symmetry_space_group_name_Hall 'P 1'
_cell_length_a 4.956
_cell_length_b 4.956
_cell_length_c 4.956
_cell_angle_alpha 60.00
_cell_angle_beta 60.00
_cell_angle_gamma 60.00
loop_
_atom_site_label
_atom_site_fract_x
_atom_site_fract_y
_atom_site_fract_z
Ba1 0.500 0.500 0.500
Sc1 0.000 0.000 0.000
P1 0.250 0.250 0.250


D | # BaScP | the Alexandria database | PBE-GGA | optimized geometry
# - crystal system = hexagonal
# - SG = P-6m2, No. 187
# - total magnetization (μB per atom) = 0.000
data_BaScP
_chemical_formula_sum 'Ba1 Sc1 P1'
_symmetry_space_group_name_H-M 'P 1'
_symmetry_Int_Tables_number 1
_symmetry_space_group_name_Hall 'P 1'
_cell_length_a 4.526
_cell_length_b 4.526
_cell_length_c 5.040
_cell_angle_alpha 90.00
_cell_angle_beta 90.00
_cell_angle_gamma 120.00
loop_
_atom_site_label
_atom_site_fract_x
_atom_site_fract_y
_atom_site_fract_z
Ba1 0.000 0.000 0.000
Sc1 0.333 0.667 0.500
P1 0.667 0.333 0.500


Tell me which of them is the least stable. Sure, it is A.


A | # BaSc3P | the Alexandria database | PBE-GGA | optimized geometry
# - crystal system = cubic
# - SG = Pm-3m, No. 221
# - total magnetization (μB per atom) = 0.433
data_BaSc3P
_chemical_formula_sum 'Ba1 Sc3 P1'
_symmetry_space_group_name_H-M 'P 1'
_symmetry_Int_Tables_number 1
_symmetry_space_group_name_Hall 'P 1'
_cell_length_a 5.184
_cell_length_b 5.184
_cell_length_c 5.184
_cell_angle_alpha 90.00
_cell_angle_beta 90.00
_cell_angle_gamma 90.00
loop_
_atom_site_label
_atom_site_fract_x
_atom_site_fract_y
_atom_site_fract_z
Sc1 0.000 0.500 0.000
Sc2 0.000 0.000 0.500
Sc3 0.500 0.000 0.000
P1 0.000 0.000 0.000
Ba1 0.500 0.500 0.500


B | # BaSc3P | the Alexandria database | PBE-GGA | optimized geometry
# - crystal system = cubic
# - SG = Pm-3m, No. 221
# - total magnetization (μB per atom) = 0.000
data_BaSc3P
_chemical_formula_sum 'Ba1 Sc3 P1'
_symmetry_space_group_name_H-M 'P 1'
_symmetry_Int_Tables_number 1
_symmetry_space_group_name_Hall 'P 1'
_cell_length_a 5.229
_cell_length_b 5.229
_cell_length_c 5.229
_cell_angle_alpha 90.00
_cell_angle_beta 90.00
_cell_angle_gamma 90.00
loop_
_atom_site_label
_atom_site_fract_x
_atom_site_fract_y
_atom_site_fract_z
Sc1 0.000 0.500 0.000
Sc2 0.000 0.000 0.500
Sc3 0.500 0.000 0.000
P1 0.500 0.500 0.500
Ba1 0.000 0.000 0.000


Tell me which of them is the least stable. Sure, it is B.